(1)
LiLa2Hf: optimized geometry, GGA-PBE.

Values from the calculation:
Formation energy from the elements (eV/f.u.): 0.58
Crystal system: tetragonal
Density of states at the Fermi level (states/eV/atom): 1.406
Energy relative to the lowest polymorph listed for this composition (meV/atom): 0

abc: 3.4430 3.4430 9.8224
angles: 90.00 90.00 90.00
Positions (direct):
Li1 0.0000 0.0000 0.0000
La1 0.5000 0.5000 0.2595
La2 0.5000 0.5000 0.7405
Hf1 0.0000 0.0000 0.5000

***

(2)
NdAl2Rh: optimized geometry, GGA-PBE.

Values from the calculation:
Formation energy from the elements (eV/f.u.): -3.08
Crystal system: orthorhombic
Density of states at the Fermi level (states/eV/atom): 0.575

abc: 15.3492 7.0886 5.8592
angles: 90.00 90.00 90.00
Positions (direct):
Nd1 0.1005 0.2500 0.2472
Nd2 0.1366 0.7500 0.0344
Nd3 0.3634 0.2500 0.5344
Nd4 0.3995 0.7500 0.7472
Nd5 0.6005 0.2500 0.2528
Nd6 0.6366 0.7500 0.4656
Nd7 0.8634 0.2500 0.9656
Nd8 0.8995 0.7500 0.7528
Al1 0.0461 0.0612 0.7264
Al2 0.0461 0.4388 0.7264
Al3 0.2097 0.5533 0.5562
Al4 0.2097 0.9467 0.5562
Al5 0.2903 0.0533 0.0562
Al6 0.2903 0.4467 0.0562
Al7 0.4539 0.5612 0.2264
Al8 0.4539 0.9388 0.2264
Al9 0.5461 0.0612 0.7736
Al10 0.5461 0.4388 0.7736
Al11 0.7097 0.5533 0.9438
Al12 0.7097 0.9467 0.9438
Al13 0.7903 0.0533 0.4438
Al14 0.7903 0.4467 0.4438
Al15 0.9539 0.5612 0.2736
Al16 0.9539 0.9388 0.2736
Rh1 0.0707 0.7500 0.5048
Rh2 0.1906 0.2500 0.7907
Rh3 0.3094 0.7500 0.2907
Rh4 0.4293 0.2500 0.0048
Rh5 0.5707 0.7500 0.9952
Rh6 0.6906 0.2500 0.7093
Rh7 0.8094 0.7500 0.2093
Rh8 0.9293 0.2500 0.4952

***

(3)
Ce5Co2Ge: optimized geometry, GGA-PBE.

Values from the calculation:
Formation energy from the elements (eV/f.u.): -2.40
Crystal system: tetragonal
Density of states at the Fermi level (states/eV/atom): 2.624

abc: 8.3002 8.3002 8.3002
angles: 125.89 125.89 80.06
Positions (direct):
Ce1 0.0000 0.0000 0.0000
Ce2 0.0211 0.5211 0.8257
Ce3 0.1954 0.0211 0.5000
Ce4 0.3046 0.8046 0.8257
Ce5 0.4789 0.3046 0.5000
Ce6 0.5000 0.5000 0.0000
Ce7 0.5211 0.6954 0.5000
Ce8 0.6954 0.1954 0.1743
Ce9 0.8046 0.9789 0.5000
Ce10 0.9789 0.4789 0.1743
Co1 0.1318 0.3682 0.5000
Co2 0.3682 0.8682 0.2364
Co3 0.6318 0.1318 0.7636
Co4 0.8682 0.6318 0.5000
Ge1 0.2500 0.2500 0.0000
Ge2 0.7500 0.7500 0.0000

***

(4)
Cs5ClO: optimized geometry, GGA-PBE.

Values from the calculation:
Calculated total energy (eV/atom): -2.53
Crystal system: monoclinic
Density of states at the Fermi level (states/eV/atom): 0.424

abc: 8.9896 8.9896 12.1353
angles: 107.87 107.87 91.63
Positions (direct):
Cs1 0.1111 0.6530 0.3571
Cs2 0.2391 0.2965 0.4942
Cs3 0.2394 0.7606 0.7500
Cs4 0.2965 0.2391 0.9942
Cs5 0.3470 0.8889 0.1429
Cs6 0.6530 0.1111 0.8571
Cs7 0.7035 0.7609 0.0058
Cs8 0.7606 0.2394 0.2500
Cs9 0.7609 0.7035 0.5058
Cs10 0.8889 0.3470 0.6429
Cl1 0.0266 0.9734 0.2500
Cl2 0.9734 0.0266 0.7500
O1 0.0000 0.5000 0.5000
O2 0.5000 0.0000 0.0000

***

(5)
Ti2C: optimized geometry, GGA-PBE.

Values from the calculation:
Formation energy from the elements (eV/f.u.): -1.93
Crystal system: cubic
Density of states at the Fermi level (states/eV/atom): 0.286

abc: 6.1122 6.1122 6.1122
angles: 60.00 60.00 60.00
Positions (direct):
Ti1 0.2313 0.7562 0.7562
Ti2 0.2438 0.2438 0.2438
Ti3 0.2438 0.2438 0.7687
Ti4 0.2438 0.7687 0.2438
Ti5 0.7562 0.2313 0.7562
Ti6 0.7562 0.7562 0.2313
Ti7 0.7562 0.7562 0.7562
Ti8 0.7687 0.2438 0.2438
C1 0.0000 0.0000 0.0000
C2 0.0000 0.0000 0.5000
C3 0.0000 0.5000 0.0000
C4 0.5000 0.0000 0.0000

***

(6)
Ac3PPbO: optimized geometry, GGA-PBE.

Values from the calculation:
Calculated total energy (eV/atom): -6.01
Crystal system: monoclinic
Density of states at the Fermi level (states/eV/atom): 0.314

abc: 9.6078 4.4237 9.8202
angles: 90.00 103.89 90.00
Positions (direct):
Ac1 0.0651 0.2500 0.3349
Ac2 0.3311 0.2500 0.9766
Ac3 0.3868 0.7500 0.6466
Ac4 0.6132 0.2500 0.3534
Ac5 0.6689 0.7500 0.0234
Ac6 0.9349 0.7500 0.6651
P1 0.1582 0.2500 0.6551
P2 0.8418 0.7500 0.3449
Pb1 0.3149 0.7500 0.2672
Pb2 0.6851 0.2500 0.7328
O1 0.4142 0.7500 0.9043
O2 0.5858 0.2500 0.0957